[1]
Below is a relaxed structure of CrTePtO6, with properties calculated at the PBE with a Hubbard U level.

abc: 4.7109 4.7109 9.4934
angles: 90.00 90.00 90.00
Space group P4_2nm (No. 102)
Unique sites:
Cr 0.0000 0.0000 0.0000
Te 0.0000 0.0000 0.3317
Pt 0.0000 0.0000 0.6657
O 0.1904 0.1904 0.8349
O 0.1935 0.1935 0.1657
O 0.1943 0.1943 0.4989

ρ: 7.42 g/cm³
uncorrected energy: -111.67 eV per cell

***

[2]
Below is a relaxed structure of TiCrPtO6, with properties calculated at the PBE with a Hubbard U level.

abc: 4.6099 4.6099 9.1701
angles: 90.00 90.00 90.00
Space group P4_2nm (No. 102)
Unique sites:
Ti 0.0000 0.0000 0.0000
Cr 0.0000 0.0000 0.6694
Pt 0.0000 0.0000 0.3350
O 0.1944 0.1944 0.5043
O 0.1945 0.1945 0.8383
O 0.1948 0.1948 0.1637

ρ: 6.66 g/cm³
uncorrected energy: -132.80 eV per cell